# 1
## LiZnCo2C (PBE-GGA)

Data for LiZnCo2C after structural relaxation.

The structure in CIF format:
```
data_LiZnCo2C
_chemical_formula_sum 'Li1 Zn1 Co2 C1'
_cell_length_a 3.672
_cell_length_b 3.672
_cell_length_c 3.958
_cell_angle_alpha 90.00
_cell_angle_beta 90.00
_cell_angle_gamma 90.00
_space_group_name_H-M_alt 'P 4/m m m'
_space_group_IT_number 123
_space_group_name_Hall '-P 4 2'
loop_
_atom_site_label
_atom_site_fract_x
_atom_site_fract_y
_atom_site_fract_z
Li1 0.000 0.000 0.000
Zn1 0.500 0.500 0.000
Co1 0.000 0.500 0.500
C1 0.000 0.000 0.500
```

Computed properties:
Final energy = -5.368 eV per atom
Size of the total moment = 0.000 μB per atom
D(E_F) = 1.5 states/eV/f.u.

***

# 2
## V4RuPt4 (PBE-GGA)

Data for V4RuPt4 after structural relaxation.

The structure in CIF format:
```
data_V4RuPt4
_chemical_formula_sum 'V8 Ru2 Pt8'
_cell_length_a 8.133
_cell_length_b 8.133
_cell_length_c 3.950
_cell_angle_alpha 90.00
_cell_angle_beta 90.00
_cell_angle_gamma 90.00
_space_group_name_H-M_alt 'I 4/m m m'
_space_group_IT_number 139
_space_group_name_Hall '-I 4 2'
loop_
_atom_site_label
_atom_site_fract_x
_atom_site_fract_y
_atom_site_fract_z
V1 0.000 0.328 0.000
Ru1 0.000 0.000 0.000
Pt1 0.169 0.169 0.500
```

Computed properties:
Final energy = -8.170 eV per atom
Size of the total moment = 0.410 μB per atom
D(E_F) = 8.4 states/eV/f.u.

***

# 3
## Tb4PmPr2 (PBE-GGA)

Data for Tb4PmPr2 after structural relaxation.

The structure in CIF format:
```
data_Tb4PmPr2
_chemical_formula_sum 'Tb8 Pm2 Pr4'
_cell_length_a 6.936
_cell_length_b 10.467
_cell_length_c 7.066
_cell_angle_alpha 90.00
_cell_angle_beta 106.73
_cell_angle_gamma 90.00
_space_group_name_H-M_alt 'P 1 2/m 1'
_space_group_IT_number 10
loop_
_space_group_symop_operation_xyz
'x,y,z'
'-x,-y,-z'
'-x,y,-z'
'x,-y,z'
loop_
_atom_site_label
_atom_site_fract_x
_atom_site_fract_y
_atom_site_fract_z
Tb1 0.229 0.216 0.190
Tb2 0.230 0.280 0.689
Pm1 0.000 0.000 0.500
Pm2 0.500 0.000 0.500
Pr1 0.000 0.500 0.000
Pr2 0.500 0.000 0.000
Pr3 0.500 0.500 0.000
Pr4 0.500 0.500 0.500
```

Computed properties:
Final energy = -4.490 eV per atom
Size of the total moment = 0.000 μB per atom
Offset from the most stable computed form = 0.000 eV/atom
D(E_F) = 9.4 states/eV/f.u.

***

# 4
## ScTa2Pb (PBE-GGA)

Data for ScTa2Pb after structural relaxation.

The structure in CIF format:
```
data_ScTa2Pb
_chemical_formula_sum 'Sc1 Ta2 Pb1'
_cell_length_a 3.060
_cell_length_b 5.087
_cell_length_c 5.399
_cell_angle_alpha 90.00
_cell_angle_beta 95.24
_cell_angle_gamma 90.00
_space_group_name_H-M_alt 'P 1 2/m 1'
_space_group_IT_number 10
loop_
_space_group_symop_operation_xyz
'x,y,z'
'-x,-y,-z'
'-x,y,-z'
'x,-y,z'
loop_
_atom_site_label
_atom_site_fract_x
_atom_site_fract_y
_atom_site_fract_z
Sc1 0.000 0.000 0.000
Ta1 0.289 0.500 0.774
Pb1 0.500 0.000 0.500
```

Computed properties:
Final energy = -8.204 eV per atom
Size of the total moment = 0.000 μB per atom
D(E_F) = 2.0 states/eV/f.u.

***

# 5
## Fe2IrW (PBE-GGA)

Data for Fe2IrW after structural relaxation.

The structure in CIF format:
```
data_Fe2IrW
_chemical_formula_sum 'Fe2 Ir1 W1'
_cell_length_a 2.728
_cell_length_b 3.690
_cell_length_c 5.341
_cell_angle_alpha 90.00
_cell_angle_beta 90.00
_cell_angle_gamma 90.00
_space_group_name_H-M_alt 'P m m 2'
_space_group_IT_number 25
loop_
_space_group_symop_operation_xyz
'x,y,z'
'-x,-y,z'
'-x,y,z'
'x,-y,z'
loop_
_atom_site_label
_atom_site_fract_x
_atom_site_fract_y
_atom_site_fract_z
Fe1 0.000 0.000 0.000
Fe2 0.500 0.500 0.224
Ir1 0.000 0.000 0.478
W1 0.500 0.500 0.746
```

Computed properties:
Final energy = -9.709 eV per atom
Size of the total moment = 0.947 μB per atom
D(E_F) = 3.6 states/eV/f.u.

***

# 6
## RbNi3Rh (PBE-GGA)

Data for RbNi3Rh after structural relaxation.

The structure in CIF format:
```
data_RbNi3Rh
_chemical_formula_sum 'Rb1 Ni3 Rh1'
_cell_length_a 4.495
_cell_length_b 4.495
_cell_length_c 4.495
_cell_angle_alpha 90.00
_cell_angle_beta 90.00
_cell_angle_gamma 90.00
_space_group_name_H-M_alt 'P m -3 m'
_space_group_IT_number 221
_space_group_name_Hall '-P 4 2 3'
loop_
_atom_site_label
_atom_site_fract_x
_atom_site_fract_y
_atom_site_fract_z
Rb1 0.000 0.000 0.000
Ni1 0.000 0.000 0.500
Rh1 0.500 0.500 0.500
```

Computed properties:
Final energy = -2.778 eV per atom
Size of the total moment = 0.214 μB per atom
Offset from the most stable computed form = 1.401 eV/atom
D(E_F) = 6.5 states/eV/f.u.

***

# 7
## PtCNF2 (PBE-GGA)

Data for PtCNF2 after structural relaxation.

The structure in CIF format:
```
data_PtCNF2
_chemical_formula_sum 'Pt1 C1 N1 F2'
_cell_length_a 4.383
_cell_length_b 4.383
_cell_length_c 3.686
_cell_angle_alpha 90.00
_cell_angle_beta 90.00
_cell_angle_gamma 90.00
_space_group_name_H-M_alt 'P 4/m m m'
_space_group_IT_number 123
_space_group_name_Hall '-P 4 2'
loop_
_atom_site_label
_atom_site_fract_x
_atom_site_fract_y
_atom_site_fract_z
Pt1 0.000 0.000 0.000
C1 0.500 0.500 0.500
N1 0.000 0.000 0.500
F1 0.000 0.500 0.000
```

Computed properties:
Final energy = -4.143 eV per atom
Size of the total moment = 0.331 μB per atom
Formation energy without anion corrections = 1324 meV per atom
Offset from the most stable computed form = 1.004 eV/atom
D(E_F) = 3.0 states/eV/f.u.

***

# 8
## TlIr3Cl (PBE-GGA)

Data for TlIr3Cl after structural relaxation.

The structure in CIF format:
```
data_TlIr3Cl
_chemical_formula_sum 'Tl1 Ir3 Cl1'
_cell_length_a 4.523
_cell_length_b 4.523
_cell_length_c 4.523
_cell_angle_alpha 90.00
_cell_angle_beta 90.00
_cell_angle_gamma 90.00
_space_group_name_H-M_alt 'P m -3 m'
_space_group_IT_number 221
_space_group_name_Hall '-P 4 2 3'
loop_
_atom_site_label
_atom_site_fract_x
_atom_site_fract_y
_atom_site_fract_z
Tl1 0.000 0.000 0.000
Ir1 0.000 0.500 0.500
Cl1 0.500 0.500 0.500
```

Computed properties:
Final energy = -4.646 eV per atom
Size of the total moment = 0.000 μB per atom
Formation energy without anion corrections = 1514 meV per atom
Offset from the most stable computed form = 0.000 eV/atom
D(E_F) = 6.2 states/eV/f.u.

***

# 9
## Ac3Sn7Pt2 (PBE-GGA)

Data for Ac3Sn7Pt2 after structural relaxation.

The structure in CIF format:
```
data_Ac3Sn7Pt2
_chemical_formula_sum 'Ac3 Sn7 Pt2'
_cell_length_a 4.828
_cell_length_b 4.787
_cell_length_c 14.616
_cell_angle_alpha 90.00
_cell_angle_beta 99.44
_cell_angle_gamma 90.00
_space_group_name_H-M_alt 'P 1 2/m 1'
_space_group_IT_number 10
loop_
_space_group_symop_operation_xyz
'x,y,z'
'-x,-y,-z'
'-x,y,-z'
'x,-y,z'
loop_
_atom_site_label
_atom_site_fract_x
_atom_site_fract_y
_atom_site_fract_z
Ac1 0.000 0.000 0.000
Ac2 0.317 0.500 0.635
Sn1 0.089 0.500 0.173
Sn2 0.222 0.000 0.444
Sn3 0.414 0.000 0.827
Sn4 0.500 0.500 0.000
Pt1 0.128 0.000 0.261
```

Computed properties:
Final energy = -5.087 eV per atom
Size of the total moment = 0.000 μB per atom
D(E_F) = 5.0 states/eV/f.u.

***

# 10
## AgHg3Bi (PBE-GGA)

Data for AgHg3Bi after structural relaxation.

The structure in CIF format:
```
data_AgHg3Bi
_chemical_formula_sum 'Ag1 Hg3 Bi1'
_cell_length_a 5.335
_cell_length_b 5.335
_cell_length_c 5.335
_cell_angle_alpha 90.00
_cell_angle_beta 90.00
_cell_angle_gamma 90.00
_space_group_name_H-M_alt 'P m -3 m'
_space_group_IT_number 221
_space_group_name_Hall '-P 4 2 3'
loop_
_atom_site_label
_atom_site_fract_x
_atom_site_fract_y
_atom_site_fract_z
Ag1 0.000 0.000 0.000
Hg1 0.000 0.000 0.500
Bi1 0.500 0.500 0.500
```

Computed properties:
Final energy = -1.150 eV per atom
Size of the total moment = 0.000 μB per atom
Offset from the most stable computed form = 0.000 eV/atom
D(E_F) = 4.6 states/eV/f.u.

***

# 11
## CsKHgPd (PBE-GGA)

Data for CsKHgPd after structural relaxation.

The structure in CIF format:
```
data_CsKHgPd
_chemical_formula_sum 'Cs2 K2 Hg2 Pd2'
_cell_length_a 8.375
_cell_length_b 4.838
_cell_length_c 9.385
_cell_angle_alpha 90.00
_cell_angle_beta 107.44
_cell_angle_gamma 90.00
_space_group_name_H-M_alt 'C 1 m 1'
_space_group_IT_number 8
loop_
_space_group_symop_operation_xyz
'x,y,z'
'x,-y,z'
'x+1/2,y+1/2,z'
'x+1/2,-y+1/2,z'
loop_
_atom_site_label
_atom_site_fract_x
_atom_site_fract_y
_atom_site_fract_z
Cs1 0.000 0.000 0.000
K1 0.171 0.000 0.508
Hg1 0.260 0.500 0.277
Pd1 0.425 0.000 0.273
```

Computed properties:
Final energy = -2.019 eV per atom
Size of the total moment = 0.000 μB per atom
Offset from the most stable computed form = 0.000 eV/atom
D(E_F) = 2.1 states/eV/f.u.

***

# 12
## TlCu2GeI6 (PBE-GGA)

Data for TlCu2GeI6 after structural relaxation.

The structure in CIF format:
```
data_TlCu2GeI6
_chemical_formula_sum 'Tl4 Cu8 Ge4 I24'
_cell_length_a 14.282
_cell_length_b 13.736
_cell_length_c 7.555
_cell_angle_alpha 90.00
_cell_angle_beta 98.26
_cell_angle_gamma 90.00
_space_group_name_H-M_alt 'C 1 2/c 1'
_space_group_IT_number 15
loop_
_space_group_symop_operation_xyz
'x,y,z'
'-x,-y,-z'
'-x,y,-z+1/2'
'x,-y,z+1/2'
'x+1/2,y+1/2,z'
'-x+1/2,-y+1/2,-z'
'-x+1/2,y+1/2,-z+1/2'
'x+1/2,-y+1/2,z+1/2'
loop_
_atom_site_label
_atom_site_fract_x
_atom_site_fract_y
_atom_site_fract_z
Tl1 0.000 0.088 0.250
Cu1 0.175 0.416 0.308
Ge1 0.000 0.277 0.750
I1 0.124 0.269 0.104
I2 0.130 0.422 0.631
I3 0.139 0.105 0.652
```

Computed properties:
Final energy = -2.693 eV per atom
Size of the total moment = 0.000 μB per atom
Formation energy without anion corrections = -245 meV per atom
D(E_F) = 9.2 states/eV/f.u.